1.
The following is a DFT calculation (PBE) of an optimized crystal structure of Sc3BiC.

a = 3.868 Å, b = 3.868 Å, c = 7.808 Å
α = 90.00°, β = 90.00°, γ = 90.00°
Atoms (fractional coordinates):
Sc1 0.000 0.000 0.723
Sc2 0.500 0.000 0.425
Sc3 0.000 0.500 0.425
C1 0.500 0.500 0.587
Bi1 0.000 0.000 0.103

Calculated values
D(E_F)	1.051	states/eV per atom
formation energy from the elements	0.15	eV/atom
spin magnetization	0.0	μB per cell

=====

2.
The following is a DFT calculation (PBE) of an optimized crystal structure of CaInBrO2.

a = 4.097 Å, b = 6.960 Å, c = 8.431 Å
α = 108.00°, β = 90.00°, γ = 90.00°
Atoms (fractional coordinates):
Ca1 0.750 0.150 0.653
Ca2 0.250 0.850 0.347
In1 0.250 0.901 0.843
In2 0.750 0.099 0.157
Br1 0.750 0.499 0.248
Br2 0.250 0.501 0.752
O1 0.750 0.020 0.890
O2 0.250 0.980 0.110
O3 0.250 0.986 0.627
O4 0.750 0.014 0.373

Calculated values
D(E_F)	0.000	states/eV per atom
raw total energy	-5.221	eV/atom
spin magnetization	0.0	μB per cell

=====

3.
The following is a DFT calculation (PBE) of an optimized crystal structure of PC.

a = 2.938 Å, b = 2.867 Å, c = 15.979 Å
α = 90.00°, β = 99.89°, γ = 90.00°
Atoms (fractional coordinates):
P1 0.894 0.000 0.887
P2 0.106 0.000 0.113
P3 0.894 0.500 0.387
P4 0.106 0.500 0.613
C1 0.041 0.000 0.544
C2 0.959 0.000 0.456
C3 0.041 0.500 0.044
C4 0.959 0.500 0.956

Calculated values
polymorph energy (0 for the lowest one)	212	meV per atom
D(E_F)	0.108	states/eV per atom
formation energy from the elements	0.52	eV/atom
spin magnetization	0.0	μB per cell

=====

4.
The following is a DFT calculation (PBE) of an optimized crystal structure of HfSbP2S.

a = 4.918 Å, b = 4.918 Å, c = 4.806 Å
α = 90.00°, β = 90.00°, γ = 90.00°
Atoms (fractional coordinates):
Sb1 0.000 0.000 0.000
S1 0.000 0.000 0.500
Hf1 0.500 0.500 0.500
P1 0.000 0.500 0.000
P2 0.500 0.000 0.000

Calculated values
polymorph energy (0 for the lowest one)	676	meV per atom
D(E_F)	0.257	states/eV per atom
spin magnetization	0.0	μB per cell